Material: ScTaS3
Method: DFT, PBE
State: relaxed

```
ScTaS3
1.0
4.768 0.000 0.000
0.000 4.768 0.000
0.000 0.000 4.768
Sc S Ta
1 3 1
direct
0.000 0.000 0.000
0.000 0.500 0.000
0.000 0.000 0.500
0.500 0.000 0.000
0.500 0.500 0.500
```

Summary:
Uncorrected energy, eV per formula unit: -30.16
D(E_F), states/eV per cell: 2.9
E_form (uncorrected), meV per atom: 80.9
SG: Pm-3m, No. 221

Material: K3ScAl
Method: DFT, PBE
State: relaxed

```
K3ScAl
1.0
6.787 0.000 0.000
0.000 6.787 0.000
0.000 0.000 6.787
Sc K Al
1 3 1
direct
0.000 0.000 0.000
0.000 0.500 0.000
0.000 0.000 0.500
0.500 0.000 0.000
0.500 0.500 0.500
```

Summary:
Uncorrected energy, eV per formula unit: -7.62
D(E_F), states/eV per cell: 27.0
Energy of formation, eV/f.u.: 5.75
SG: Pm-3m, No. 221

Material: Ti2Mn2Os
Method: DFT, PBE
State: relaxed

```
Ti2Mn2Os
1.0
6.840 0.000 0.000
0.000 6.840 0.000
0.000 0.000 3.042
Mn Os Ti
4 2 4
direct
0.151 0.651 0.500
0.651 0.849 0.500
0.849 0.349 0.500
0.349 0.151 0.500
0.000 0.000 0.000
0.500 0.500 0.000
0.349 0.849 0.000
0.849 0.651 0.000
0.651 0.151 0.000
0.151 0.349 0.000
```

Summary:
Uncorrected energy, eV per formula unit: -44.42
D(E_F), states/eV per cell: 8.0
Energy of formation, eV/f.u.: 0.94
SG: P4/mbm, No. 127

Material: Nd8YEr6
Method: DFT, PBE
State: relaxed

```
Nd8YEr6
1.0
9.113 0.000 0.000
4.557 7.893 0.000
4.557 2.631 6.992
Nd Y Er
8 1 6
direct
0.248 0.284 0.580
0.716 0.113 0.420
0.113 0.752 0.420
0.578 0.578 0.266
0.422 0.422 0.734
0.887 0.248 0.580
0.284 0.887 0.580
0.752 0.716 0.420
0.000 0.000 0.000
0.461 0.904 0.884
0.096 0.250 0.116
0.250 0.539 0.116
0.750 0.461 0.884
0.904 0.750 0.884
0.539 0.096 0.116
```

Summary:
Uncorrected energy, eV per formula unit: -70.05
D(E_F), states/eV per cell: 23.3
Energy of formation, eV/f.u.: 1.93
SG: R-3, No. 148

- Which of these has the highest uncorrected energy?
  K3ScAl